Density functional theory data (PBE) for a relaxed structure of Sm2In9Ni3.

abc: 14.190 8.171 11.376
angles: 90.00 114.74 90.00
Space group C2/c (No. 15)
Asymmetric unit:
1 Sm 0.169 0.083 0.252 x8
2 In 0.000 0.359 0.250 x4
3 In 0.060 0.073 0.928 x8
4 In 0.107 0.412 0.058 x8
5 In 0.112 0.306 0.749 x8
6 In 0.230 0.412 0.427 x8
7 Ni 0.083 0.250 0.500 x8
8 Ni 0.250 0.250 0.000 x4

Values from the calculation:
D(E_F) (states/eV/atom): 0.445
M_tot (μB/cell): 0.00
Formation enthalpy at 0 K (eV/f.u.): -3.61

Density functional theory data (PBE) for a relaxed structure of Sm3InNi.

abc: 7.6972 7.6972 5.3564
angles: 90.00 90.00 120.00
Space group P6_3/mmc (No. 194)
Asymmetric unit:
1 Sm 0.1812 0.3625 0.2500 x6
2 In 0.3333 0.6667 0.7500 x2
3 Ni 0.0000 0.0000 0.0000 x2

Values from the calculation:
D(E_F) (states/eV/atom): 0.962
M_tot (μB/cell): 0.00
Formation enthalpy at 0 K (eV/f.u.): -1.47

Density functional theory data (PBE) for a relaxed structure of SmIn2Ni.

abc: 16.348 7.444 5.722
angles: 90.00 90.00 90.00
Space group Pnma (No. 62)
Asymmetric unit:
1 Sm 0.107 0.250 0.245 x4
2 Sm 0.143 0.750 0.464 x4
3 In 0.036 0.049 0.749 x8
4 In 0.214 0.551 0.971 x8
5 Ni 0.072 0.750 0.989 x4
6 Ni 0.175 0.250 0.732 x4

Values from the calculation:
D(E_F) (states/eV/atom): 0.672
M_tot (μB/cell): 0.00
Formation enthalpy at 0 K (eV/f.u.): -1.67

Density functional theory data (PBE) for a relaxed structure of Sm4In3Ni.

abc: 3.576 3.576 16.413
angles: 90.00 90.00 90.00
Space group P4/mmm (No. 123)
Asymmetric unit:
1 Sm 0.000 0.000 0.101 x2
2 Sm 0.000 0.000 0.367 x2
3 In 0.500 0.500 0.235 x2
4 In 0.500 0.500 0.500 x1
5 Ni 0.500 0.500 0.000 x1

Values from the calculation:
D(E_F) (states/eV/atom): 0.910
M_tot (μB/cell): 0.00
Formation enthalpy at 0 K (eV/f.u.): -3.43

Density functional theory data (PBE) for a relaxed structure of SmIn3Ni3.

abc: 6.913 6.913 6.913
angles: 90.00 90.00 90.00
Space group Pm-3n (No. 223)
Asymmetric unit:
1 Sm 0.000 0.000 0.000 x2
2 In 0.000 0.250 0.500 x6
3 Ni 0.000 0.500 0.250 x6

Values from the calculation:
D(E_F) (states/eV/atom): 0.888
M_tot (μB/cell): 0.00
Formation enthalpy at 0 K (eV/f.u.): 1.87

Density functional theory data (PBE) for a relaxed structure of SmIn2Ni.

abc: 3.3980 3.3980 30.0839
angles: 90.00 90.00 120.00
Space group R-3m (No. 166, hexagonal axes)
Asymmetric unit:
1 Sm 0.0000 0.0000 0.0000 x3
2 In 0.0000 0.0000 0.1068 x6
3 Ni 0.0000 0.0000 0.5000 x3

Values from the calculation:
D(E_F) (states/eV/atom): 0.846
M_tot (μB/cell): 0.00
Formation enthalpy at 0 K (eV/f.u.): 0.81

Density functional theory data (PBE) for a relaxed structure of SmInNi10.

abc: 4.019 4.818 8.382
angles: 90.00 90.00 90.00
Space group Pmmm (No. 47)
Asymmetric unit:
1 Sm 0.000 0.000 0.000 x1
2 In 0.000 0.500 0.500 x1
3 Ni 0.000 0.000 0.342 x2
4 Ni 0.000 0.500 0.181 x2
5 Ni 0.500 0.000 0.500 x1
6 Ni 0.500 0.251 0.253 x4
7 Ni 0.500 0.500 0.000 x1

Values from the calculation:
D(E_F) (states/eV/atom): 1.167
M_tot (μB/cell): 3.76
Formation enthalpy at 0 K (eV/f.u.): -1.47

Density functional theory data (PBE) for a relaxed structure of Sm5InNi2.

abc: 7.873 7.873 13.536
angles: 90.00 90.00 90.00
Space group I4/mcm (No. 140)
Asymmetric unit:
1 Sm 0.000 0.000 0.000 x4
2 Sm 0.159 0.341 0.136 x16
3 In 0.000 0.000 0.250 x4
4 Ni 0.125 0.375 0.500 x8

Values from the calculation:
D(E_F) (states/eV/atom): 1.105
M_tot (μB/cell): 0.00
Formation enthalpy at 0 K (eV/f.u.): -2.42